# 1
This record from Alexandria describes a relaxed Tl3Ni crystal. The functional is PBE-GGA.

Cell lengths 5.1760, 3.6513, 6.2345 Å; angles 90.00, 114.40, 90.00 degrees
With the nearest neighbours (Å) after each atom.
Space group P2/m (No. 10)
Unique sites:
Tl (0.0000, 0.0000, 0.0000)  2 Ni 2.59
Tl (0.3286, 0.5000, 0.6575)  2 Ni 2.67
Ni (0.5000, 0.0000, 0.0000)  6 Tl 2.59-2.67

Results
Crystal system: monoclinic
Volume (Å³ per atom): 26.827
Energy of formation (eV/atom): 0.190

# 2
This record from Alexandria describes a relaxed TaNb2Pt2 crystal. The functional is PBE-GGA.

Cell lengths 15.1465, 4.0102, 2.8485 Å; angles 90.00, 100.71, 90.00 degrees
With the nearest neighbours (Å) after each atom.
Space group C2/m (No. 12)
Unique sites:
Ta (0.0000, 0.0000, 0.0000)  2 Ta 2.85, 8 Pt 2.85, 2 Nb 2.94
Nb (0.1976, 0.0000, 0.1980)  6 Nb 2.85-2.91, 5 Pt 2.88-3.06, 1 Ta 2.94
Pt (0.0969, 0.5000, 0.5969)  3 Pt 2.85-2.88, 4 Ta 2.85, 5 Nb 2.88-3.06

Results
Crystal system: monoclinic
Volume (Å³ per atom): 17.001
Energy relative to the lowest polymorph listed for this composition (eV/f.u.): 0.00
Energy of formation (eV/atom): -0.428

# 3
This record from Alexandria describes a relaxed Ba2HfSi crystal. The functional is PBE-GGA.

Cell lengths 11.8975, 11.8975, 5.1691 Å; angles 90.00, 90.00, 90.00 degrees
With the nearest neighbours (Å) after each atom.
Space group I-42d (No. 122)
Unique sites:
Ba (0.0978, 0.2500, 0.1250)  2 Si 3.26
Hf (0.0000, 0.0000, 0.5000)  2 Si 2.58
Si (0.0000, 0.0000, 0.0000)  2 Hf 2.58

Results
Crystal system: tetragonal
E_form (uncorrected) (eV per formula unit): 1.62
Volume (Å³ per atom): 45.731

# 4
This record from Alexandria describes a relaxed Na2CuSe2 crystal. The functional is PBE-GGA.

Cell lengths 3.6726, 5.5446, 12.8966 Å; angles 90.00, 90.00, 90.00 degrees
With the nearest neighbours (Å) after each atom.
Space group Immm (No. 71)
Unique sites:
Na (0.0000, 0.0000, 0.1875)  4 Se 2.88-3.02
Cu (0.0000, 0.0000, 0.5000)  4 Se 2.46
Se (0.0000, 0.5000, 0.1268)  2 Cu 2.46

Results
Crystal system: orthorhombic
E_form (uncorrected) (eV per formula unit): -3.08
Volume (Å³ per atom): 26.261

- Among the records above, which one has the lowest volume?
  TaNb2Pt2